A plane-wave DFT calculation with PBE was carried out for a relaxed CaPm2TmAs4 crystal.

abc: 7.233 4.196 7.305
angles: 90.00 109.52 90.00
Fractional coordinates of all 8 atoms:
Ca 0.000 0.000 0.000
Pm 0.500 0.000 0.500
Pm 0.500 0.500 0.000
Tm 0.000 0.500 0.500
As 0.243 0.000 0.742
As 0.248 0.500 0.256
As 0.752 0.500 0.744
As 0.757 0.000 0.258

Calculated values
**ρ**: 6.35 g/cm3
**Formation energy from the elements**: -1.35 eV/atom